# 1
A relaxed structure of KScAg2. Source: Alexandria via LeMat-Bulk, functional PBE.

It has space group I-4m2 (No. 119), with a = 4.407 Å, b = 4.407 Å, c = 9.914 Å, α = 90.00°, β = 90.00° and γ = 90.00°. The inequivalent atoms are K at (0.000, 0.000, 0.000), Sc at (0.000, 0.500, 0.750), Ag at (0.000, 0.000, 0.500) and Ag at (0.000, 0.500, 0.250).

The value obtained for the volume is 24.07 A^3/atom. The calculation puts the formation energy at 0.3247 eV/atom. The density of states at the Fermi level comes out at 3.4 states/eV/f.u.

# 2
A relaxed structure of KScAg. Source: Alexandria via LeMat-Bulk, functional PBE.

It has space group F-43m (No. 216), with a = 7.272 Å, b = 7.272 Å, c = 7.272 Å, α = 90.00°, β = 90.00° and γ = 90.00°. The inequivalent atoms are K at (0.000, 0.000, 0.000), Sc at (0.250, 0.250, 0.750) and Ag at (0.250, 0.250, 0.250).

The value obtained for the volume is 32.05 A^3/atom. The calculation puts the formation energy at 1.0653 eV/atom. The density of states at the Fermi level comes out at 3.9 states/eV/f.u.

# 3
A relaxed structure of K2ScAg. Source: Alexandria via LeMat-Bulk, functional PBE.

It has space group Fm-3m (No. 225), with a = 8.422 Å, b = 8.422 Å, c = 8.422 Å, α = 90.00°, β = 90.00° and γ = 90.00°. The inequivalent atoms are K at (0.250, 0.250, 0.250), Sc at (0.000, 0.000, 0.000) and Ag at (0.000, 0.000, 0.500).

The value obtained for the volume is 37.34 A^3/atom. The calculation puts the formation energy at 0.7001 eV/atom. The density of states at the Fermi level comes out at 4.0 states/eV/f.u.

# 4
A relaxed structure of KScAg. Source: Alexandria via LeMat-Bulk, functional PBE.

It has space group I4mm (No. 107), with a = 3.575 Å, b = 3.575 Å, c = 14.383 Å, α = 90.00°, β = 90.00° and γ = 90.00°. The inequivalent atoms are K at (0.000, 0.000, 0.000), Sc at (0.000, 0.000, 0.269) and Ag at (0.000, 0.000, 0.677).

The value obtained for the volume is 30.65 A^3/atom. The calculation puts the formation energy at 0.1845 eV/atom. The density of states at the Fermi level comes out at 3.6 states/eV/f.u.

# 5
A relaxed structure of K2Sc2Ag. Source: Alexandria via LeMat-Bulk, functional PBE.

It has space group I4/mmm (No. 139), with a = 4.102 Å, b = 4.102 Å, c = 22.552 Å, α = 90.00°, β = 90.00° and γ = 90.00°. The inequivalent atoms are K at (0.000, 0.000, 0.092), Sc at (0.000, 0.500, 0.250) and Ag at (0.000, 0.000, 0.500).

The value obtained for the volume is 37.94 A^3/atom. The calculation puts the formation energy at 0.4926 eV/atom. The density of states at the Fermi level comes out at 7.1 states/eV/f.u.

# 6
A relaxed structure of KScAg2. Source: Alexandria via LeMat-Bulk, functional PBE.

It has space group F-43m (No. 216), with a = 7.171 Å, b = 7.171 Å, c = 7.171 Å, α = 90.00°, β = 90.00° and γ = 90.00°. The inequivalent atoms are K at (0.000, 0.000, 0.000), Sc at (0.250, 0.250, 0.250), Ag at (0.000, 0.000, 0.500) and Ag at (0.250, 0.250, 0.750).

The value obtained for the volume is 23.04 A^3/atom. The calculation puts the formation energy at 0.3714 eV/atom. The density of states at the Fermi level comes out at 4.3 states/eV/f.u.

What did the first record say?
A relaxed structure of KScAg2. Source: Alexandria via LeMat-Bulk, functional PBE.

It has space group I-4m2 (No. 119), with a = 4.407 Å, b = 4.407 Å, c = 9.914 Å, α = 90.00°, β = 90.00° and γ = 90.00°. The inequivalent atoms are K at (0.000, 0.000, 0.000), Sc at (0.000, 0.500, 0.750), Ag at (0.000, 0.000, 0.500) and Ag at (0.000, 0.500, 0.250).

The value obtained for the volume is 24.07 A^3/atom. The calculation puts the formation energy at 0.3247 eV/atom. The density of states at the Fermi level comes out at 3.4 states/eV/f.u.

Look up the volume of the sixth one. 23.04 A^3/atom

Look up the volume of the second one. 32.05 A^3/atom